Record 1
# Na3TlMo GGA-PBEsol optimized geometry
# Total magnetic moment ... 4.71 μB/cell
# ΔE_f ... 1.29 eV/atom
data_Na3TlMo
_chemical_formula_sum 'Na3 Tl1 Mo1'
_cell_length_a 5.648
_cell_length_b 5.648
_cell_length_c 5.648
_cell_angle_alpha 90.00
_cell_angle_beta 90.00
_cell_angle_gamma 90.00
_space_group_name_H-M_alt 'P m -3 m'
_space_group_IT_number 221
_space_group_name_Hall '-P 4 2 3'
loop_
_atom_site_label
_atom_site_type_symbol
_atom_site_fract_x
_atom_site_fract_y
_atom_site_fract_z
Na1 Na 0.000 0.000 0.500
Tl1 Tl 0.000 0.000 0.000
Mo1 Mo 0.500 0.500 0.500


Record 2
# K3CdF GGA-PBEsol optimized geometry
# Total magnetic moment ... 0.00 μB/cell
# Formation energy from raw total energies ... -1.008 eV/atom
data_K3CdF
_chemical_formula_sum 'K3 Cd1 F1'
_cell_length_a 5.420
_cell_length_b 5.420
_cell_length_c 5.420
_cell_angle_alpha 90.00
_cell_angle_beta 90.00
_cell_angle_gamma 90.00
_space_group_name_H-M_alt 'P m -3 m'
_space_group_IT_number 221
_space_group_name_Hall '-P 4 2 3'
loop_
_atom_site_label
_atom_site_type_symbol
_atom_site_fract_x
_atom_site_fract_y
_atom_site_fract_z
K1 K 0.000 0.000 0.500
Cd1 Cd 0.500 0.500 0.500
F1 F 0.000 0.000 0.000


Record 3
# Al3TlPt GGA-PBEsol optimized geometry
# Total magnetic moment ... 0.00 μB/cell
# ΔE_f ... 1.21 eV/atom
data_Al3TlPt
_chemical_formula_sum 'Al3 Tl1 Pt1'
_cell_length_a 4.984
_cell_length_b 4.984
_cell_length_c 4.984
_cell_angle_alpha 90.00
_cell_angle_beta 90.00
_cell_angle_gamma 90.00
_space_group_name_H-M_alt 'P m -3 m'
_space_group_IT_number 221
_space_group_name_Hall '-P 4 2 3'
loop_
_atom_site_label
_atom_site_type_symbol
_atom_site_fract_x
_atom_site_fract_y
_atom_site_fract_z
Al1 Al 0.000 0.000 0.500
Tl1 Tl 0.000 0.000 0.000
Pt1 Pt 0.500 0.500 0.500


Record 4
# AlCu GGA-PBEsol optimized geometry
# Total magnetic moment ... 0.00 μB/cell
# ΔE_f ... -0.16 eV/atom
data_AlCu
_chemical_formula_sum 'Al4 Cu4'
_cell_length_a 9.464
_cell_length_b 2.728
_cell_length_c 4.410
_cell_angle_alpha 90.00
_cell_angle_beta 113.65
_cell_angle_gamma 90.00
_space_group_name_H-M_alt 'C 1 2/m 1'
_space_group_IT_number 12
_space_group_name_Hall '-C 2y'
loop_
_atom_site_label
_atom_site_type_symbol
_atom_site_fract_x
_atom_site_fract_y
_atom_site_fract_z
Al1 Al 0.117 0.000 0.302
Cu1 Cu 0.131 0.500 0.803